# 1
Entry from Alexandria via LeMat-Bulk: an optimized crystal structure of MnAgOsCl2 (PBE).

Summary:
ΔE_f (raw): 0.7861 eV per atom
Symmetry: P4/mmm (123)
Total magnetic moment: 0.75 μB per atom

a b c (Å): 4.6732 5.1318 4.6732
angles (deg): 90.00 90.00 90.00
Each line ends with the local moment (μB).
Fractional positions:
Cl (0.0000, 0.0000, 0.5000)  -0.01
Ag (0.5000, 0.5000, 0.5000)  -0.08
Os (0.0000, 0.0000, 0.0000)  -0.41
Mn (0.0000, 0.5000, 0.0000)  4.09
Cl (0.5000, 0.0000, 0.0000)  -0.07

=====

# 2
Entry from Alexandria via LeMat-Bulk: an optimized crystal structure of MnAgPCl2 (PBE).

Summary:
ΔE_f (raw): 0.5266 eV per atom
Symmetry: P4/mmm (123)
Relative energy among the computed polymorphs: 503 meV per atom
Total magnetic moment: 0.77 μB per atom

a b c (Å): 4.9975 4.9975 4.9977
angles (deg): 90.00 90.00 90.00
Each line ends with the local moment (μB).
Fractional positions:
Cl (0.0000, 0.5000, 0.0000)  -0.04
Mn (0.5000, 0.5000, 0.5000)  4.64
P (0.0000, 0.0000, 0.5000)  -0.51
Ag (0.0000, 0.0000, 0.0000)  -0.11
Cl (0.5000, 0.0000, 0.0000)  -0.04

=====

# 3
Entry from Alexandria via LeMat-Bulk: an optimized crystal structure of MnAgPCl2 (PBE).

Summary:
ΔE_f (raw): 0.0236 eV per atom
Symmetry: P4/mmm (123)
Relative energy among the computed polymorphs: 0 meV per atom
Total magnetic moment: 0.59 μB per atom

a b c (Å): 4.8250 4.8250 4.6962
angles (deg): 90.00 90.00 90.00
Each line ends with the local moment (μB).
Fractional positions:
P (0.0000, 0.0000, 0.5000)  -0.40
Ag (0.5000, 0.5000, 0.5000)  0.01
Cl (0.0000, 0.5000, 0.0000)  -0.01
Cl (0.5000, 0.0000, 0.0000)  -0.01
Mn (0.0000, 0.0000, 0.0000)  3.54

=====

# 4
Entry from Alexandria via LeMat-Bulk: an optimized crystal structure of MnAgPb2Cl8 (PBE).

Summary:
ΔE_f (raw): -0.9331 eV per atom
Symmetry: P2/m (10)
Total magnetic moment: 0.33 μB per atom

a b c (Å): 6.5764 6.1634 8.4612
angles (deg): 89.96 90.02 89.45
Each line ends with the local moment (μB).
Fractional positions:
Pb (0.4999, 0.5000, 0.7560)  0.01
Ag (0.0000, 0.0000, 0.5000)  0.00
Cl (0.8623, 0.2128, 0.1987)  -0.01
Cl (0.6981, 0.7377, 0.5000)  0.01
Cl (0.3308, 0.2406, 0.0002)  0.04
Cl (0.6692, 0.7594, 0.9998)  0.04
Pb (0.5001, 0.5000, 0.2440)  0.01
Mn (0.0000, 0.0000, 0.0000)  3.66
Cl (0.8624, 0.2134, 0.8013)  -0.01
Cl (0.3019, 0.2623, 0.5000)  0.01
Cl (0.1377, 0.7872, 0.8013)  -0.01
Cl (0.1376, 0.7866, 0.1987)  -0.01

=====

# 5
Entry from Alexandria via LeMat-Bulk: an optimized crystal structure of MnAg2PbCl8 (PBE).

Summary:
ΔE_f (raw): -0.7573 eV per atom
Symmetry: P-1 (2)
Total magnetic moment: 0.25 μB per atom

a b c (Å): 6.3125 6.2361 8.1708
angles (deg): 83.68 85.36 88.25
Each line ends with the local moment (μB).
Fractional positions:
Cl (0.3379, 0.2965, 0.4598)  -0.02
Cl (0.1917, 0.8141, 0.8032)  -0.01
Cl (0.1486, 0.7759, 0.2082)  -0.02
Cl (0.8514, 0.2241, 0.7918)  -0.02
Ag (0.4426, 0.4315, 0.7399)  -0.03
Cl (0.2749, 0.2320, 0.9995)  -0.01
Cl (0.6621, 0.7035, 0.5402)  -0.02
Cl (0.8083, 0.1859, 0.1968)  -0.01
Mn (0.0000, 0.0000, 0.0000)  2.96
Cl (0.7251, 0.7680, 0.0005)  -0.01
Pb (0.0000, 0.0000, 0.5000)  0.01
Ag (0.5574, 0.5685, 0.2601)  -0.03

=====

# 6
Entry from Alexandria via LeMat-Bulk: an optimized crystal structure of MnAg2PbCl (PBE).

Summary:
ΔE_f (raw): 0.5447 eV per atom
Symmetry: P4/mmm (123)
Total magnetic moment: 0.00 μB per atom

a b c (Å): 5.2138 4.0973 5.2138
angles (deg): 90.00 90.00 90.00
Fractional positions:
Pb (0.5000, 0.5000, 0.5000)
Ag (0.0000, 0.0000, 0.5000)
Mn (0.0000, 0.0000, 0.0000)
Cl (0.0000, 0.5000, 0.0000)
Ag (0.5000, 0.0000, 0.0000)

=====

# 7
Entry from Alexandria via LeMat-Bulk: an optimized crystal structure of MnAgPdCl6 (PBE).

Summary:
ΔE_f (raw): -0.6370 eV per atom
Symmetry: P4_2nm (102)
Total magnetic moment: 0.44 μB per atom

a b c (Å): 6.5941 6.5941 10.7783
angles (deg): 90.00 90.00 90.00
Each line ends with the local moment (μB).
Fractional positions:
Mn (0.0000, 0.0000, 0.6692)  3.74
Cl (0.1789, 0.8211, 0.8066)  -0.01
Cl (0.3211, 0.3211, 0.3066)  -0.01
Pd (0.5000, 0.5000, 0.8405)  -0.08
Cl (0.6789, 0.6789, 0.3066)  -0.01
Ag (0.0000, 0.0000, 0.9966)  -0.02
Cl (0.3215, 0.3215, 0.6859)  0.01
Cl (0.6661, 0.6661, 0.0044)  0.01
Cl (0.1661, 0.8339, 0.5044)  0.01
Cl (0.8211, 0.1789, 0.8066)  -0.01
Mn (0.5000, 0.5000, 0.1692)  3.74
Cl (0.1785, 0.8215, 0.1859)  0.01
Cl (0.6785, 0.6785, 0.6859)  0.01
Cl (0.3339, 0.3339, 0.0044)  0.01
Ag (0.5000, 0.5000, 0.4966)  -0.02
Cl (0.8339, 0.1661, 0.5044)  0.01
Pd (0.0000, 0.0000, 0.3405)  -0.08
Cl (0.8215, 0.1785, 0.1859)  0.01

=====

# 8
Entry from Alexandria via LeMat-Bulk: an optimized crystal structure of MnAg2PdCl6 (PBE).

Summary:
ΔE_f (raw): -0.5844 eV per atom
Symmetry: R3 (146)
Total magnetic moment: 0.30 μB per atom

a b c (Å): 6.6452 6.6447 6.9344
angles (deg): 61.35 61.36 60.00
Each line ends with the local moment (μB).
Fractional positions:
Cl (0.6916, 0.0712, 0.7783)  -0.05
Cl (0.0714, 0.4588, 0.7781)  -0.05
Mn (0.8200, 0.8200, 0.5398)  4.11
Pd (0.3202, 0.3200, 0.0397)  -0.98
Cl (0.4587, 0.6919, 0.7783)  -0.05
Cl (0.5832, 0.1825, 0.2847)  -0.05
Cl (0.9496, 0.5831, 0.2848)  -0.05
Cl (0.1824, 0.9495, 0.2850)  -0.05
Ag (0.0425, 0.0426, 0.8723)  0.00
Ag (0.5419, 0.5420, 0.3740)  -0.01

=====

# 9
Entry from Alexandria via LeMat-Bulk: an optimized crystal structure of PmMnAg2Cl6 (PBE).

Summary:
ΔE_f (raw): -1.0673 eV per atom
Symmetry: R3 (146)
Total magnetic moment: 0.40 μB per atom

a b c (Å): 7.0699 7.0709 7.0115
angles (deg): 90.00 120.28 119.99
Each line ends with the local moment (μB).
Fractional positions:
Ag (0.3927, 0.1959, 0.5748)  -0.05
Mn (0.9970, 0.4981, 0.4805)  4.23
Cl (0.1463, 0.2719, 0.7278)  0.01
Cl (0.1248, 0.3994, 0.2329)  0.01
Ag (0.5999, 0.7995, 0.3857)  -0.05
Cl (0.8475, 0.7242, 0.2327)  0.01
Cl (0.5228, 0.1223, 0.2328)  0.01
Cl (0.8683, 0.5954, 0.7278)  0.01
Pm (0.9962, 0.9975, 0.9796)  -0.18
Cl (0.4700, 0.8736, 0.7280)  0.01

=====

# 10
Entry from Alexandria via LeMat-Bulk: an optimized crystal structure of Rb2MnAgCl5 (PBE).

Summary:
ΔE_f (raw): -1.3295 eV per atom
Symmetry: Cmc2_1 (36)
Total magnetic moment: 0.55 μB per atom

a b c (Å): 4.2310 9.8807 13.2870
angles (deg): 90.00 90.00 102.36
Each line ends with the local moment (μB).
Fractional positions:
Cl (0.6965, 0.3930, 0.1484)  -0.01
Mn (0.5729, 0.1458, 0.9438)  4.39
Rb (0.8731, 0.7462, 0.1832)  0.00
Cl (0.6427, 0.2854, 0.5001)  0.00
Cl (0.4906, 0.9812, 0.2920)  0.06
Mn (0.4271, 0.8542, 0.4438)  4.39
Rb (0.8728, 0.7456, 0.8144)  0.00
Rb (0.1272, 0.2544, 0.3144)  0.00
Cl (0.9543, 0.9085, 0.5264)  0.06
Ag (0.2265, 0.4531, 0.0377)  -0.02
Cl (0.3573, 0.7146, 0.0001)  0.00
Ag (0.7735, 0.5470, 0.5377)  -0.02
Cl (0.0457, 0.0915, 0.0264)  0.06
Cl (0.3137, 0.6274, 0.3779)  0.05
Cl (0.5094, 0.0188, 0.7920)  0.06
Rb (0.1269, 0.2538, 0.6832)  0.00
Cl (0.6863, 0.3726, 0.8780)  0.05
Cl (0.3035, 0.6070, 0.6484)  -0.01

=====

# 11
Entry from Alexandria via LeMat-Bulk: an optimized crystal structure of Rb3MnAg2Cl9 (PBE).

Summary:
ΔE_f (raw): -1.2181 eV per atom
Symmetry: P-3m1 (164)
Total magnetic moment: 0.22 μB per atom

a b c (Å): 7.2578 7.2578 8.8867
angles (deg): 90.00 90.00 120.00
Each line ends with the local moment (μB).
Fractional positions:
Cl (0.8445, 0.6890, 0.6532)  -0.02
Rb (0.3333, 0.6667, 0.6862)  0.00
Cl (0.3110, 0.1555, 0.6532)  -0.02
Cl (0.1555, 0.8445, 0.3468)  -0.02
Cl (0.1555, 0.3110, 0.3468)  -0.02
Cl (0.5000, 0.0000, 0.0000)  -0.05
Cl (0.8445, 0.1555, 0.6532)  -0.02
Ag (0.6667, 0.3333, 0.8279)  -0.12
Mn (0.0000, 0.0000, 0.5000)  3.54
Cl (0.5000, 0.5000, 0.0000)  -0.05
Cl (0.6890, 0.8445, 0.3468)  -0.02
Cl (0.0000, 0.5000, 0.0000)  -0.05
Ag (0.3333, 0.6667, 0.1721)  -0.12
Rb (0.0000, 0.0000, 0.0000)  0.00
Rb (0.6667, 0.3333, 0.3138)  0.00

=====

# 12
Entry from Alexandria via LeMat-Bulk: an optimized crystal structure of Rb3Mn2AgCl9 (PBE).

Summary:
ΔE_f (raw): -1.3608 eV per atom
Symmetry: P-3m1 (164)
Total magnetic moment: 0.60 μB per atom

a b c (Å): 7.1898 7.1898 8.8711
angles (deg): 90.00 90.00 120.00
Each line ends with the local moment (μB).
Fractional positions:
Cl (0.6533, 0.8267, 0.3191)  0.02
Cl (0.5000, 0.5000, 0.0000)  0.02
Mn (0.3333, 0.6667, 0.1661)  4.11
Cl (0.8267, 0.1733, 0.6809)  0.02
Cl (0.1733, 0.8267, 0.3191)  0.02
Cl (0.5000, 0.0000, 0.0000)  0.02
Rb (0.6667, 0.3333, 0.3396)  0.00
Rb (0.0000, 0.0000, 0.0000)  0.00
Cl (0.1733, 0.3467, 0.3191)  0.02
Mn (0.6667, 0.3333, 0.8339)  4.11
Cl (0.0000, 0.5000, 0.0000)  0.02
Rb (0.3333, 0.6667, 0.6604)  0.00
Cl (0.3467, 0.1733, 0.6809)  0.02
Ag (0.0000, 0.0000, 0.5000)  -0.05
Cl (0.8267, 0.6533, 0.6809)  0.02

=====

# 13
Entry from Alexandria via LeMat-Bulk: an optimized crystal structure of RbMnAgCl6 (PBE).

Summary:
ΔE_f (raw): -1.0154 eV per atom
Symmetry: C2 (5)
Total magnetic moment: 0.33 μB per atom

a b c (Å): 6.7920 6.7996 6.9454
angles (deg): 90.03 90.08 60.05
Each line ends with the local moment (μB).
Fractional positions:
Rb (0.0001, 0.9997, 0.0000)  0.00
Cl (0.0497, 0.5993, 0.6918)  -0.01
Mn (0.3334, 0.3332, 0.5000)  2.90
Cl (0.5994, 0.0502, 0.3081)  -0.01
Cl (0.3511, 0.5993, 0.3080)  -0.01
Cl (0.5993, 0.3507, 0.6926)  -0.01
Ag (0.6666, 0.6667, 0.5000)  -0.01
Cl (0.3503, 0.0503, 0.6921)  -0.01
Cl (0.0500, 0.3507, 0.3073)  -0.01

=====

# 14
Entry from Alexandria via LeMat-Bulk: an optimized crystal structure of MnAgS2Cl (PBE).

Summary:
ΔE_f (raw): 0.1238 eV per atom
Symmetry: P4/mmm (123)
Relative energy among the computed polymorphs: 0 meV per atom
Total magnetic moment: 0.00 μB per atom

a b c (Å): 4.3241 4.3241 5.2008
angles (deg): 90.00 90.00 90.00
Fractional positions:
S (0.0000, 0.5000, 0.0000)
Cl (0.0000, 0.0000, 0.5000)
Mn (0.0000, 0.0000, 0.0000)
S (0.5000, 0.0000, 0.0000)
Ag (0.5000, 0.5000, 0.5000)

=====

# 15
Entry from Alexandria via LeMat-Bulk: an optimized crystal structure of MnAgSCl2 (PBE).

Summary:
ΔE_f (raw): -0.0279 eV per atom
Symmetry: P4/mmm (123)
Relative energy among the computed polymorphs: 0 meV per atom
Total magnetic moment: 0.06 μB per atom

a b c (Å): 4.8853 4.8853 4.2302
angles (deg): 90.00 90.00 90.00
Each line ends with the local moment (μB).
Fractional positions:
Cl (0.5000, 0.0000, 0.0000)  0.02
Cl (0.0000, 0.5000, 0.0000)  0.02
Mn (0.0000, 0.0000, 0.0000)  -0.34
Ag (0.5000, 0.5000, 0.5000)  0.00
S (0.0000, 0.0000, 0.5000)  0.03

=====

# 16
Entry from Alexandria via LeMat-Bulk: an optimized crystal structure of MnAgSCl2 (PBE).

Summary:
ΔE_f (raw): 0.2423 eV per atom
Symmetry: P4/mmm (123)
Relative energy among the computed polymorphs: 270 meV per atom
Total magnetic moment: 1.04 μB per atom

a b c (Å): 4.8673 4.8673 5.0726
angles (deg): 90.00 90.00 90.00
Each line ends with the local moment (μB).
Fractional positions:
Cl (0.5000, 0.0000, 0.0000)  0.03
Ag (0.0000, 0.0000, 0.0000)  0.00
S (0.0000, 0.0000, 0.5000)  0.02
Cl (0.0000, 0.5000, 0.0000)  0.03
Mn (0.5000, 0.5000, 0.5000)  4.64

=====

# 17
Entry from Alexandria via LeMat-Bulk: an optimized crystal structure of MnAgS2Cl (PBE).

Summary:
ΔE_f (raw): 0.5223 eV per atom
Symmetry: P4/mmm (123)
Relative energy among the computed polymorphs: 398 meV per atom
Total magnetic moment: 0.96 μB per atom

a b c (Å): 4.8623 4.8623 4.8444
angles (deg): 90.00 90.00 90.00
Each line ends with the local moment (μB).
Fractional positions:
Mn (0.5000, 0.5000, 0.5000)  4.53
Cl (0.0000, 0.0000, 0.5000)  0.03
S (0.5000, 0.0000, 0.0000)  -0.04
Ag (0.0000, 0.0000, 0.0000)  -0.01
S (0.0000, 0.5000, 0.0000)  -0.04

=====

# 18
Entry from Alexandria via LeMat-Bulk: an optimized crystal structure of Sc2MnAgCl (PBE).

Summary:
ΔE_f (raw): 0.3850 eV per atom
Symmetry: P4/mmm (123)
Total magnetic moment: 0.97 μB per atom

a b c (Å): 5.2328 4.9640 5.2328
angles (deg): 90.00 90.00 90.00
Each line ends with the local moment (μB).
Fractional positions:
Mn (0.0000, 0.5000, 0.0000)  4.14
Cl (0.5000, 0.5000, 0.5000)  0.04
Sc (0.0000, 0.0000, 0.5000)  0.05
Sc (0.5000, 0.0000, 0.0000)  0.14
Ag (0.0000, 0.0000, 0.0000)  0.03

=====

# 19
Entry from Alexandria via LeMat-Bulk: an optimized crystal structure of ScMnAgCl6 (PBE).

Summary:
ΔE_f (raw): -1.3887 eV per atom
Symmetry: P-31c (163)
Total magnetic moment: 0.56 μB per atom

a b c (Å): 6.4559 6.4559 12.1639
angles (deg): 90.00 90.00 120.00
Each line ends with the local moment (μB).
Fractional positions:
Cl (0.3575, 0.3541, 0.3670)  0.03
Cl (0.3541, 0.9966, 0.6330)  0.03
Cl (0.9966, 0.3541, 0.1330)  0.03
Sc (0.6667, 0.3333, 0.2500)  0.01
Cl (0.6459, 0.6425, 0.1330)  0.03
Cl (0.3575, 0.0034, 0.1330)  0.03
Mn (0.6667, 0.3333, 0.7500)  4.41
Mn (0.3333, 0.6667, 0.2500)  4.41
Cl (0.6459, 0.0034, 0.3670)  0.03
Sc (0.3333, 0.6667, 0.7500)  0.01
Cl (0.0034, 0.3575, 0.6330)  0.03
Ag (0.0000, 0.0000, 0.5000)  0.01
Cl (0.0034, 0.6459, 0.8670)  0.03
Cl (0.9966, 0.6425, 0.3670)  0.03
Ag (0.0000, 0.0000, 0.0000)  0.01
Cl (0.6425, 0.9966, 0.8670)  0.03
Cl (0.6425, 0.6459, 0.6330)  0.03
Cl (0.3541, 0.3575, 0.8670)  0.03

=====

# 20
Entry from Alexandria via LeMat-Bulk: an optimized crystal structure of MnAg2SnCl6 (PBE).

Summary:
ΔE_f (raw): -0.7815 eV per atom
Symmetry: R3 (146)
Total magnetic moment: 0.50 μB per atom

a b c (Å): 6.8655 6.8662 7.5162
angles (deg): 62.82 62.82 59.99
Each line ends with the local moment (μB).
Fractional positions:
Ag (0.5854, 0.5852, 0.2440)  0.01
Cl (0.5633, 0.2175, 0.2626)  0.03
Mn (0.3218, 0.3218, 0.0346)  4.41
Ag (0.0120, 0.0119, 0.9643)  0.01
Cl (0.4131, 0.6940, 0.8051)  0.03
Cl (0.0877, 0.4131, 0.8053)  0.03
Cl (0.2175, 0.9564, 0.2626)  0.03
Sn (0.8103, 0.8104, 0.5691)  0.03
Cl (0.9565, 0.5635, 0.2626)  0.03
Cl (0.6940, 0.0879, 0.8052)  0.03

=====

# 21
Entry from Alexandria via LeMat-Bulk: an optimized crystal structure of MnAgSnCl6 (PBE).

Summary:
ΔE_f (raw): -0.8364 eV per atom
Symmetry: P4_2nm (102)
Total magnetic moment: 0.44 μB per atom

a b c (Å): 6.2729 6.2729 11.7727
angles (deg): 90.00 90.00 90.00
Each line ends with the local moment (μB).
Fractional positions:
Ag (0.0000, 0.0000, 0.6707)  -0.04
Cl (0.2761, 0.2761, 0.3329)  -0.03
Sn (0.5000, 0.5000, 0.4982)  -0.09
Cl (0.6899, 0.6899, 0.6808)  -0.01
Cl (0.8101, 0.1899, 0.1808)  -0.01
Cl (0.3101, 0.3101, 0.6808)  -0.01
Cl (0.7239, 0.7239, 0.3329)  -0.03
Mn (0.5000, 0.5000, 0.8326)  4.00
Mn (0.0000, 0.0000, 0.3326)  4.00
Cl (0.1898, 0.8102, 0.4855)  -0.03
Ag (0.5000, 0.5000, 0.1707)  -0.04
Sn (0.0000, 0.0000, 0.9982)  -0.09
Cl (0.8102, 0.1898, 0.4855)  -0.03
Cl (0.6898, 0.6898, 0.9855)  -0.03
Cl (0.3102, 0.3102, 0.9855)  -0.03
Cl (0.7761, 0.2239, 0.8329)  -0.03
Cl (0.2239, 0.7761, 0.8329)  -0.03
Cl (0.1899, 0.8101, 0.1808)  -0.01

=====

# 22
Entry from Alexandria via LeMat-Bulk: an optimized crystal structure of MnAgSnCl5 (PBE).

Summary:
ΔE_f (raw): -0.8422 eV per atom
Symmetry: C2/c (15)
Total magnetic moment: 0.62 μB per atom

a b c (Å): 7.3806 7.3806 10.1037
angles (deg): 108.70 108.70 95.76
Each line ends with the local moment (μB).
Fractional positions:
Cl (0.0292, 0.9708, 0.2500)  0.06
Cl (0.2146, 0.7555, 0.5147)  0.03
Cl (0.3084, 0.2820, 0.6393)  0.03
Cl (0.2820, 0.3084, 0.1393)  0.03
Mn (0.0000, 0.0000, 0.0000)  4.42
Cl (0.9708, 0.0292, 0.7500)  0.06
Cl (0.6916, 0.7180, 0.3607)  0.03
Sn (0.6969, 0.3031, 0.7500)  0.02
Cl (0.7180, 0.6916, 0.8607)  0.03
Ag (0.6742, 0.3258, 0.2500)  0.01
Cl (0.2445, 0.7854, 0.9853)  0.03
Cl (0.7854, 0.2445, 0.4853)  0.03
Ag (0.3258, 0.6742, 0.7500)  0.01
Sn (0.3031, 0.6969, 0.2500)  0.02
Mn (0.0000, 0.0000, 0.5000)  4.42
Cl (0.7555, 0.2146, 0.0147)  0.03